Entry from Alexandria: an optimized crystal structure of Na2SbC (PBE).

Structure (extended XYZ):
```
16
Lattice="6.962 0.000 0.000 0.000 6.962 0.000 0.000 0.000 6.962" Properties=species:S:1:pos:R:3 pbc="T T T"
Na 1.741 1.741 1.741
Na 1.741 1.741 5.222
Na 1.741 5.222 1.741
Na 1.741 5.222 5.222
Na 5.222 1.741 1.741
Na 5.222 1.741 5.222
Na 5.222 5.222 1.741
Na 5.222 5.222 5.222
Sb 0.000 0.000 0.000
Sb 0.000 3.481 3.481
Sb 3.481 0.000 3.481
Sb 3.481 3.481 0.000
C 0.000 0.000 3.481
C 0.000 3.481 0.000
C 3.481 0.000 0.000
C 3.481 3.481 3.481
```

Results
* ΔE_f (raw): 1165 meV per atom
* ΔE to the lowest computed polymorph: 0.456 eV per atom
* SG: Fm-3m, No. 225